(1)
{
  "formula": "CsSnP2S",
  "functional": "PBE",
  "state": "relaxed",
  "lattice_angstrom": [[5.616, 0.000, 0.000], [0.000, 5.616, 0.000], [0.000, 0.000, 5.289]],
  "species": ["Cs", "P", "P", "S", "Sn"],
  "fractional_positions": [[0.000, 0.000, 0.000], [0.000, 0.500, 0.000], [0.500, 0.000, 0.000], [0.000, 0.000, 0.500], [0.500, 0.500, 0.500]],
  "crystal_system": "tetragonal"
}

***

(2)
{
  "formula": "Cs2Sn2PS2",
  "functional": "PBE",
  "state": "relaxed",
  "lattice_angstrom": [[-2.899, -3.486, -2.703], [3.524, -6.686, -5.047], [3.061, -8.150, 2.417]],
  "species": ["Cs", "Cs", "Sn", "Sn", "P", "S", "S"],
  "fractional_positions": [[0.685, 0.918, 0.775], [0.315, 0.082, 0.225], [0.745, 0.410, 0.698], [0.255, 0.590, 0.302], [0.000, 0.000, 0.000], [0.887, 0.404, 0.402], [0.113, 0.596, 0.598]],
  "crystal_system": "triclinic"
}

***

(3)
{
  "formula": "CsSnP2S",
  "functional": "PBE",
  "state": "relaxed",
  "lattice_angstrom": [[5.286, 0.000, 0.000], [0.000, 5.286, 0.000], [0.000, 0.000, 5.339]],
  "species": ["Cs", "P", "P", "S", "Sn"],
  "fractional_positions": [[0.500, 0.500, 0.500], [0.000, 0.500, 0.000], [0.500, 0.000, 0.000], [0.000, 0.000, 0.500], [0.000, 0.000, 0.000]],
  "crystal_system": "tetragonal"
}

***

(4)
{
  "formula": "CsSnPS2",
  "functional": "PBE",
  "state": "relaxed",
  "lattice_angstrom": [[-0.287, 5.325, 0.276], [-3.869, -0.018, -3.680], [-3.893, -0.422, 4.095]],
  "species": ["Cs", "P", "S", "S", "Sn"],
  "fractional_positions": [[0.000, 0.000, 0.000], [0.000, 0.000, 0.500], [0.000, 0.500, 0.000], [0.500, 0.000, 0.000], [0.500, 0.500, 0.500]],
  "crystal_system": "tetragonal"
}

***

(5)
{
  "formula": "CsSnPS2",
  "functional": "PBE",
  "state": "relaxed",
  "lattice_angstrom": [[5.257, 0.000, 0.000], [0.000, 5.257, 0.000], [0.000, 0.000, 5.284]],
  "species": ["Cs", "P", "S", "S", "Sn"],
  "fractional_positions": [[0.500, 0.500, 0.500], [0.000, 0.000, 0.500], [0.000, 0.500, 0.000], [0.500, 0.000, 0.000], [0.000, 0.000, 0.000]],
  "crystal_system": "tetragonal"
}

***

(6)
{
  "formula": "Cs2SrPS4",
  "functional": "PBE",
  "state": "relaxed",
  "lattice_angstrom": [[-0.455, -3.619, 5.842], [-5.729, -5.466, 0.227], [8.215, -10.864, -2.031]],
  "species": ["Cs", "Cs", "Cs", "Cs", "Sr", "Sr", "P", "P", "S", "S", "S", "S", "S", "S", "S", "S"],
  "fractional_positions": [[0.185, 0.000, 0.631], [0.815, 0.000, 0.369], [0.565, 0.500, 0.869], [0.935, 0.500, 0.131], [0.750, 0.500, 0.500], [0.000, 0.000, 0.000], [0.250, 0.500, 0.500], [0.500, 0.000, 0.000], [0.364, 0.820, 0.090], [0.274, 0.180, 0.910], [0.816, 0.820, 0.910], [0.546, 0.180, 0.090], [0.386, 0.680, 0.410], [0.476, 0.320, 0.590], [0.934, 0.680, 0.590], [0.204, 0.320, 0.410]],
  "crystal_system": "orthorhombic"
}

***

(7)
{
  "formula": "Cs2SrP2S6",
  "functional": "PBE",
  "state": "relaxed",
  "lattice_angstrom": [[-3.345, -0.112, 6.487], [1.669, -6.335, -3.355], [6.264, 4.324, 3.304]],
  "species": ["Cs", "Cs", "Sr", "P", "P", "S", "S", "S", "S", "S", "S"],
  "fractional_positions": [[0.726, 0.453, 0.221], [0.274, 0.547, 0.779], [0.500, 0.000, 0.500], [0.960, 0.920, 0.837], [0.040, 0.080, 0.163], [0.774, 0.548, 0.708], [0.203, 0.942, 0.205], [0.262, 0.058, 0.795], [0.797, 0.058, 0.795], [0.738, 0.942, 0.205], [0.226, 0.452, 0.292]],
  "crystal_system": "monoclinic"
}

***

(8)
{
  "formula": "CsSrP2S",
  "functional": "PBE",
  "state": "relaxed",
  "lattice_angstrom": [[-1.493, 0.582, 5.236], [-3.998, -3.669, -0.732], [3.563, -4.178, 1.480]],
  "species": ["Cs", "Sr", "S", "P", "P"],
  "fractional_positions": [[0.000, 0.000, 0.000], [0.500, 0.500, 0.500], [0.000, 0.000, 0.500], [0.000, 0.500, 0.000], [0.500, 0.000, 0.000]],
  "crystal_system": "tetragonal"
}

***

These records have volume values of 33.37, 38.85, 29.84, 32.31, 29.20, 40.94, 29.88, 34.11 Å³/atom, in the order they appear.
These records have final energy values of -2.36, -3.84, -3.63, -2.40, -3.70, -4.07, -4.52, -2.67 eV/atom, in the order they appear.